No. 1
Material: LaMg4Pa
Method: DFT, PBE
State: relaxed

```
LaMg4Pa
1.0
0.000 4.268 4.268
4.268 0.000 4.268
4.268 4.268 0.000
La Mg Pa
1 4 1
direct
0.000 0.000 0.000
0.376 0.376 0.376
0.376 0.376 0.873
0.376 0.873 0.376
0.873 0.376 0.376
0.750 0.750 0.750
```

Calculated values
* E_tot: -3.32 eV per atom
* spin magnetization: 0.71 μB per cell

***

No. 2
Material: LaPmMgPa
Method: DFT, PBE
State: relaxed

```
LaPmMgPa
1.0
0.000 3.896 3.896
3.896 0.000 3.896
3.896 3.896 0.000
La Pm Mg Pa
1 1 1 1
direct
0.000 0.000 0.000
0.500 0.500 0.500
0.250 0.250 0.250
0.750 0.750 0.750
```

Calculated values
* E_tot: -4.86 eV per atom
* spin magnetization: 0.06 μB per cell

***

No. 3
Material: LaSmMgPa
Method: DFT, PBE
State: relaxed

```
LaSmMgPa
1.0
0.000 3.889 3.889
3.889 0.000 3.889
3.889 3.889 0.000
La Sm Mg Pa
1 1 1 1
direct
0.000 0.000 0.000
0.500 0.500 0.500
0.750 0.750 0.750
0.250 0.250 0.250
```

Calculated values
* E_tot: -4.85 eV per atom
* spin magnetization: 0.01 μB per cell

***

No. 4
Material: La2MgPaTe5
Method: DFT, PBE
State: relaxed

```
La2MgPaTe5
1.0
2.202 -9.579 0.000
2.202 9.579 0.000
0.000 0.000 13.664
La Mg Pa Te
4 2 2 10
direct
0.114 0.886 0.500
0.131 0.869 0.122
0.869 0.131 0.622
0.886 0.114 0.000
0.441 0.559 0.267
0.559 0.441 0.767
0.201 0.799 0.823
0.799 0.201 0.323
0.046 0.954 0.886
0.289 0.711 0.483
0.309 0.691 0.158
0.364 0.636 0.815
0.496 0.504 0.589
0.504 0.496 0.089
0.636 0.364 0.315
0.691 0.309 0.658
0.711 0.289 0.983
0.954 0.046 0.386
```

Calculated values
* E_tot: -5.21 eV per atom
* spin magnetization: 4.17 μB per cell
* formation energy without anion corrections: -110 kJ per mole of atoms

***

No. 5
Material: LaMg2Pb
Method: DFT, PBE
State: relaxed

```
LaMg2Pb
1.0
-2.314 2.314 11.529
2.314 -2.314 11.529
2.314 2.314 -11.529
La Mg Pb
2 4 2
direct
0.000 0.000 0.000
0.750 0.250 0.500
0.145 0.625 0.020
0.375 0.395 0.520
0.605 0.125 0.980
0.875 0.855 0.480
0.250 0.750 0.500
0.500 0.500 0.000
```

Calculated values
* E_tot: -3.03 eV per atom
* spin magnetization: 0.00 μB per cell

***

No. 6
Material: LaMgPb2
Method: DFT, PBE
State: relaxed

```
LaMgPb2
1.0
0.000 3.931 3.931
3.931 0.000 3.931
3.931 3.931 0.000
La Mg Pb
1 1 2
direct
0.000 0.000 0.000
0.250 0.250 0.250
0.500 0.500 0.500
0.750 0.750 0.750
```

Calculated values
* E_tot: -3.66 eV per atom
* spin magnetization: 0.00 μB per cell

***

No. 7
Material: LaMg2Pb
Method: DFT, PBE
State: relaxed

```
LaMg2Pb
1.0
6.044 -1.773 0.000
6.044 1.773 0.000
-1.912 0.000 5.420
La Mg Pb
1 2 1
direct
0.000 0.000 0.000
0.235 0.235 0.731
0.765 0.765 0.269
0.500 0.500 0.500
```

Calculated values
* E_tot: -3.12 eV per atom
* spin magnetization: 0.31 μB per cell

***

No. 8
Material: LaMg2Pb3
Method: DFT, PBE
State: relaxed

```
LaMg2Pb3
1.0
2.501 -7.403 0.000
2.501 7.403 0.000
0.000 0.000 4.549
La Mg Pb
1 2 3
direct
0.000 0.000 0.000
0.325 0.675 0.000
0.675 0.325 0.000
0.172 0.828 0.500
0.500 0.500 0.500
0.828 0.172 0.500
```

Calculated values
* E_tot: -3.50 eV per atom
* spin magnetization: 0.00 μB per cell

***

No. 9
Material: La2Mg2Pb
Method: DFT, PBE
State: relaxed

```
La2Mg2Pb
1.0
9.265 0.000 0.000
0.000 9.265 0.000
0.000 0.000 3.762
La Mg Pb
4 4 2
direct
0.177 0.323 0.000
0.323 0.823 0.000
0.677 0.177 0.000
0.823 0.677 0.000
0.119 0.619 0.500
0.381 0.119 0.500
0.619 0.881 0.500
0.881 0.381 0.500
0.000 0.000 0.000
0.500 0.500 0.000
```

Calculated values
* E_tot: -3.34 eV per atom
* spin magnetization: 0.00 μB per cell
* energy above the most stable polymorph in this dataset: 243 meV/atom

***

No. 10
Material: LaMg2Pb
Method: DFT, PBE
State: relaxed

```
LaMg2Pb
1.0
-2.386 2.392 4.976
2.386 -2.392 4.976
2.386 2.392 -4.976
La Mg Pb
1 2 1
direct
0.000 0.000 0.000
0.250 0.750 0.500
0.750 0.250 0.500
0.500 0.500 0.000
```

Calculated values
* E_tot: -3.19 eV per atom
* spin magnetization: 0.00 μB per cell

***

No. 11
Material: La4MgPb
Method: DFT, PBE
State: relaxed

```
La4MgPb
1.0
0.000 4.662 4.662
4.662 0.000 4.662
4.662 4.662 0.000
La Mg Pb
4 1 1
direct
0.377 0.377 0.377
0.377 0.377 0.870
0.377 0.870 0.377
0.870 0.377 0.377
0.000 0.000 0.000
0.750 0.750 0.750
```

Calculated values
* E_tot: -4.05 eV per atom
* spin magnetization: 0.02 μB per cell

***

No. 12
Material: LaMg3Pb2
Method: DFT, PBE
State: relaxed

```
LaMg3Pb2
1.0
9.075 -2.381 0.000
9.075 2.381 0.000
-4.122 0.000 7.608
La Mg Pb
2 6 4
direct
0.129 0.129 0.058
0.871 0.871 0.942
0.061 0.061 0.419
0.302 0.302 0.522
0.393 0.393 0.301
0.607 0.607 0.699
0.698 0.698 0.478
0.939 0.939 0.581
0.225 0.225 0.776
0.478 0.478 0.804
0.522 0.522 0.196
0.775 0.775 0.224
```

Calculated values
* E_tot: -3.10 eV per atom
* spin magnetization: 0.00 μB per cell

***

- What is the E_tot in the second record?
  -4.86 eV per atom

***

- What is the E_tot in the second record?
  -4.86 eV per atom

***

Copy entry 3 word for word.
Material: LaSmMgPa
Method: DFT, PBE
State: relaxed

```
LaSmMgPa
1.0
0.000 3.889 3.889
3.889 0.000 3.889
3.889 3.889 0.000
La Sm Mg Pa
1 1 1 1
direct
0.000 0.000 0.000
0.500 0.500 0.500
0.750 0.750 0.750
0.250 0.250 0.250
```

Calculated values
* E_tot: -4.85 eV per atom
* spin magnetization: 0.01 μB per cell